[1]
# Er2Sb

A relaxed Er2Sb crystal (PBE-GGA, OQMD via LeMat-Bulk).

The uncorrected energy is -79.9 eV/cell. The calculation puts the size of the total moment at 1.64 μB per formula unit. Its crystal system is cubic.

The space group is Fd-3m (No. 227, origin choice 2) and the conventional cell measures 13.503, 13.503 and 13.503 Å, with angles of 90.00, 90.00 and 90.00 degrees. The distinct sites, in fractional coordinates, are Er at (0.000, 0.000, 0.000) and Sb at (0.125, 0.125, 0.125).

[2]
# Ho2Tm2B7

A relaxed Ho2Tm2B7 crystal (PBE-GGA, OQMD via LeMat-Bulk).

The uncorrected energy is -66.5 eV/cell. The calculation puts the size of the total moment at 0.01 μB per formula unit. Its crystal system is triclinic.

The space group is P-1 (No. 2) and the conventional cell measures 3.529, 3.831 and 11.896 Å, with angles of 96.11, 91.06 and 90.90 degrees. The distinct sites, in fractional coordinates, are Ho at (0.163, 0.456, 0.351), Tm at (0.434, 0.097, 0.870), B at (0.000, 0.500, 0.000), B at (0.067, 0.410, 0.126), B at (0.227, 0.010, 0.531) and B at (0.353, 0.047, 0.662).

[3]
# UTlBi

A relaxed UTlBi crystal (PBE-GGA, OQMD via LeMat-Bulk).

The calculation puts the size of the total moment at 3.43 μB per formula unit. Its offset from the most stable computed form is 192.1 meV/atom. Its crystal system is cubic.

The space group is F-43m (No. 216) and the conventional cell measures 7.398, 7.398 and 7.398 Å, with angles of 90.00, 90.00 and 90.00 degrees. The distinct sites, in fractional coordinates, are U at (0.000, 0.000, 0.000), Tl at (0.250, 0.250, 0.750) and Bi at (0.000, 0.000, 0.500).

[4]
# HfCuBiPd

A relaxed HfCuBiPd crystal (PBE-GGA, OQMD via LeMat-Bulk).

The calculation puts the size of the total moment at 0.00 μB per formula unit. Its offset from the most stable computed form is 0.0 meV/atom. Its crystal system is cubic.

The space group is F-43m (No. 216) and the conventional cell measures 6.720, 6.720 and 6.720 Å, with angles of 90.00, 90.00 and 90.00 degrees. The distinct sites, in fractional coordinates, are Hf at (0.000, 0.000, 0.000), Cu at (0.250, 0.250, 0.750), Bi at (0.000, 0.000, 0.500) and Pd at (0.250, 0.250, 0.250).

[5]
# Lu4Ge3W2N3

A relaxed Lu4Ge3W2N3 crystal (PBE-GGA, OQMD via LeMat-Bulk).

The uncorrected energy is -371.7 eV/cell. The calculation puts the size of the total moment at 0.01 μB per formula unit. Its crystal system is monoclinic.

The space group is C2/c (No. 15) and the conventional cell measures 9.919, 5.754 and 13.526 Å, with angles of 90.00, 103.92 and 90.00 degrees. The distinct sites, in fractional coordinates, are Lu at (0.117, 0.084, 0.099), Lu at (0.217, 0.081, 0.401), Ge at (0.000, 0.142, 0.750), Ge at (0.137, 0.448, 0.250), W at (0.053, 0.420, 0.919), N at (0.084, 0.247, 0.500) and N at (0.250, 0.250, 0.000).

[6]
# LaUPt

A relaxed LaUPt crystal (PBE-GGA, OQMD via LeMat-Bulk).

The calculation puts the size of the total moment at 4.02 μB per formula unit. The calculation puts the energy of formation at -0.134 eV/atom. Its offset from the most stable computed form is 0.0 meV/atom. Its crystal system is cubic.

The space group is F-43m (No. 216) and the conventional cell measures 7.014, 7.014 and 7.014 Å, with angles of 90.00, 90.00 and 90.00 degrees. The distinct sites, in fractional coordinates, are La at (0.000, 0.000, 0.000), U at (0.000, 0.000, 0.500) and Pt at (0.250, 0.250, 0.250).

[7]
# TbIn2Co

A relaxed TbIn2Co crystal (PBE-GGA, OQMD via LeMat-Bulk).

The uncorrected energy is -72.3 eV/cell. The calculation puts the size of the total moment at 0.01 μB per formula unit. Its crystal system is orthorhombic.

The space group is Cmmm (No. 65) and the conventional cell measures 4.441, 19.525 and 4.060 Å, with angles of 90.00, 90.00 and 90.00 degrees. The distinct sites, in fractional coordinates, are Tb at (0.000, 0.136, 0.000), In at (0.000, 0.000, 0.500), In at (0.000, 0.294, 0.500), In at (0.000, 0.500, 0.000) and Co at (0.000, 0.423, 0.500).

[8]
# Sm2Al2Fe15

A relaxed Sm2Al2Fe15 crystal (PBE-GGA, OQMD via LeMat-Bulk).

The uncorrected energy is -428.1 eV/cell. The calculation puts the size of the total moment at 28.04 μB per formula unit. Its crystal system is trigonal.

The space group is R-3m (No. 166, hexagonal axes) and the conventional cell measures 8.4138, 8.4138 and 12.4972 Å, with angles of 90.00, 90.00 and 120.00 degrees. The distinct sites, in fractional coordinates, are Sm at (0.0000, 0.0000, 0.1525), Al at (0.0000, 0.0000, 0.3982), Fe at (0.0000, 0.2922, 0.5000), Fe at (0.0000, 0.5000, 0.0000) and Fe at (0.0008, 0.5004, 0.3410).

[9]
# SrIn2PdPt

A relaxed SrIn2PdPt crystal (PBE-GGA, OQMD via LeMat-Bulk).

The uncorrected energy is -43.5 eV/cell. The calculation puts the size of the total moment at 0.01 μB per formula unit. Its crystal system is tetragonal.

The space group is P4/nmm (No. 129, origin choice 2) and the conventional cell measures 4.704, 4.704 and 10.794 Å, with angles of 90.00, 90.00 and 90.00 degrees. The distinct sites, in fractional coordinates, are Sr at (0.250, 0.250, 0.242), In at (0.250, 0.250, 0.879), In at (0.250, 0.750, 0.500), Pd at (0.250, 0.750, 0.000) and Pt at (0.250, 0.250, 0.633).

[10]
# NaYFeSe3

A relaxed NaYFeSe3 crystal (PBE-GGA, OQMD via LeMat-Bulk).

The calculation puts the size of the total moment at 4.00 μB per formula unit. Its offset from the most stable computed form is 128.5 meV/atom. Its crystal system is monoclinic.

The space group is C2/m (No. 12) and the conventional cell measures 17.784, 4.062 and 8.229 Å, with angles of 90.00, 104.28 and 90.00 degrees. The distinct sites, in fractional coordinates, are Na at (0.135, 0.000, 0.072), Y at (0.171, 0.000, 0.590), Fe at (0.020, 0.500, 0.720), Se at (0.000, 0.000, 0.500), Se at (0.000, 0.500, 0.000), Se at (0.164, 0.500, 0.347) and Se at (0.165, 0.500, 0.824).

[11]
# Sr2SmNbO6

A relaxed Sr2SmNbO6 crystal (PBE-GGA, OQMD via LeMat-Bulk).

The uncorrected energy is -155.9 eV/cell. The calculation puts the size of the total moment at 0.01 μB per formula unit. Its crystal system is monoclinic.

The space group is P2_1/c (No. 14) and the conventional cell measures 5.876, 5.939 and 10.139 Å, with angles of 90.00, 124.98 and 90.00 degrees. The distinct sites, in fractional coordinates, are Sr at (0.236, 0.041, 0.250), Sm at (0.500, 0.000, 0.000), Nb at (0.000, 0.000, 0.500), O at (0.137, 0.228, 0.944), O at (0.218, 0.698, 0.948) and O at (0.331, 0.030, 0.732).

[12]
# La2PrGe4Ir4

A relaxed La2PrGe4Ir4 crystal (PBE-GGA, OQMD via LeMat-Bulk).

The uncorrected energy is -155.4 eV/cell. The calculation puts the size of the total moment at 0.00 μB per formula unit. Its crystal system is orthorhombic.

The space group is Immm (No. 71) and the conventional cell measures 4.185, 4.248 and 25.539 Å, with angles of 90.00, 90.00 and 90.00 degrees. The distinct sites, in fractional coordinates, are La at (0.000, 0.000, 0.145), Pr at (0.000, 0.500, 0.000), Ge at (0.000, 0.000, 0.303), Ge at (0.000, 0.500, 0.451), Ir at (0.000, 0.000, 0.400) and Ir at (0.000, 0.500, 0.250).

[13]
# Co2W11

A relaxed Co2W11 crystal (PBE-GGA, OQMD via LeMat-Bulk).

The calculation puts the size of the total moment at 0.03 μB per formula unit. The calculation puts the energy of formation at 0.533 eV/atom. Its offset from the most stable computed form is 113.0 meV/atom. Its crystal system is trigonal.

The space group is R-3m (No. 166, hexagonal axes) and the conventional cell measures 5.1602, 5.1602 and 27.6677 Å, with angles of 90.00, 90.00 and 120.00 degrees. The distinct sites, in fractional coordinates, are Co at (0.0000, 0.0000, 0.1554), W at (0.0000, 0.0000, 0.0454), W at (0.0000, 0.0000, 0.3317), W at (0.0000, 0.0000, 0.5000) and W at (0.0036, 0.5018, 0.9102).

[14]
# DyTm2Lu

A relaxed DyTm2Lu crystal (PBE-GGA, OQMD via LeMat-Bulk).

The calculation puts the size of the total moment at 0.02 μB per formula unit. The calculation puts the energy of formation at 0.001 eV/atom. Its crystal system is orthorhombic.

The space group is Amm2 (No. 38) and the conventional cell measures 5.524, 7.094 and 12.287 Å, with angles of 90.00, 90.00 and 90.00 degrees. The distinct sites, in fractional coordinates, are Dy at (0.000, 0.000, 0.000), Dy at (0.500, 0.000, 0.333), Tm at (0.000, 0.000, 0.500), Tm at (0.500, 0.000, 0.833), Tm at (0.500, 0.249, 0.584) and Lu at (0.000, 0.249, 0.750).

[15]
# TmSeO3F

A relaxed TmSeO3F crystal (PBE-GGA, OQMD via LeMat-Bulk).

The calculation puts the size of the total moment at 0.00 μB per formula unit. Its offset from the most stable computed form is 21.7 meV/atom. Its crystal system is monoclinic.

The space group is P2_1/c (No. 14) and the conventional cell measures 6.496, 6.756 and 7.025 Å, with angles of 90.00, 99.17 and 90.00 degrees. The distinct sites, in fractional coordinates, are Tm at (0.136, 0.142, 0.324), Se at (0.359, 0.617, 0.293), O at (0.174, 0.036, 0.647), O at (0.177, 0.693, 0.785), O at (0.482, 0.190, 0.366) and F at (0.170, 0.110, 0.024).

[16]
# Pm12CdCo6

A relaxed Pm12CdCo6 crystal (PBE-GGA, OQMD via LeMat-Bulk).

The calculation puts the size of the total moment at 0.00 μB per formula unit. The calculation puts the energy of formation at -0.140 eV/atom. Its crystal system is cubic.

The space group is Im-3 (No. 204) and the conventional cell measures 9.917, 9.917 and 9.917 Å, with angles of 90.00, 90.00 and 90.00 degrees. The distinct sites, in fractional coordinates, are Pm at (0.000, 0.194, 0.306), Cd at (0.000, 0.000, 0.000) and Co at (0.000, 0.388, 0.500).

[17]
# HoMg

A relaxed HoMg crystal (PBE-GGA, OQMD via LeMat-Bulk).

The uncorrected energy is -12.1 eV/cell. The calculation puts the size of the total moment at 0.05 μB per formula unit. Its crystal system is orthorhombic.

The space group is Pmmn (No. 59, origin choice 2) and the conventional cell measures 3.605, 5.428 and 5.666 Å, with angles of 90.00, 90.00 and 90.00 degrees. The distinct sites, in fractional coordinates, are Ho at (0.250, 0.250, 0.085) and Mg at (0.250, 0.750, 0.418).

[18]
# NbAsPbO

A relaxed NbAsPbO crystal (PBE-GGA, OQMD via LeMat-Bulk).

The calculation puts the size of the total moment at 0.00 μB per formula unit. Its offset from the most stable computed form is 216.2 meV/atom. Its crystal system is tetragonal.

The space group is P4/nmm (No. 129, origin choice 2) and the conventional cell measures 4.308, 4.308 and 10.010 Å, with angles of 90.00, 90.00 and 90.00 degrees. The distinct sites, in fractional coordinates, are Nb at (0.250, 0.250, 0.026), As at (0.250, 0.250, 0.261), Pb at (0.250, 0.750, 0.500) and O at (0.250, 0.750, 0.000).

[19]
# NdSmGe2Os

A relaxed NdSmGe2Os crystal (PBE-GGA, OQMD via LeMat-Bulk).

The uncorrected energy is -132.7 eV/cell. The calculation puts the size of the total moment at 0.00 μB per formula unit. Its crystal system is monoclinic.

The space group is C2/m (No. 12) and the conventional cell measures 11.122, 4.348 and 10.477 Å, with angles of 90.00, 119.27 and 90.00 degrees. The distinct sites, in fractional coordinates, are Nd at (0.186, 0.000, 0.112), Sm at (0.004, 0.000, 0.674), Ge at (0.004, 0.500, 0.870), Ge at (0.149, 0.500, 0.564) and Os at (0.227, 0.500, 0.374).

[20]
# KBeCd

A relaxed KBeCd crystal (PBE-GGA, OQMD via LeMat-Bulk).

Its offset from the most stable computed form is 227.3 meV/atom. Its crystal system is cubic.

The space group is F-43m (No. 216) and the conventional cell measures 7.198, 7.198 and 7.198 Å, with angles of 90.00, 90.00 and 90.00 degrees. The distinct sites, in fractional coordinates, are K at (0.000, 0.000, 0.000), Be at (0.000, 0.000, 0.500) and Cd at (0.250, 0.250, 0.750).